K4Al (PBE, relaxed); relative energy among the computed polymorphs = 0.00 kJ per mole of atoms; symmetry = Im-3m, No. 229; ΔE_f = 0.247 eV per atom; calculated volume = 303 Å³/cell
1.0
6.093 4.039 -0.479
-2.973 0.842 6.643
1.659 -7.057 -1.056
K Al
4 1
direct
0.000 0.500 0.000 K
0.000 0.000 0.500 K
0.500 0.000 0.000 K
0.500 0.500 0.500 K
0.000 0.000 0.000 Al

=====

KAl3 (PBE, relaxed); symmetry = P6_3/mmc, No. 194; ΔE_f = 0.395 eV per atom; calculated volume = 415 Å³/cell
1.0
7.305 0.000 0.000
-3.652 6.326 0.000
0.000 0.000 8.977
K Al
4 12
direct
0.667 0.333 0.750 K
0.000 0.000 0.500 K
0.000 0.000 0.000 K
0.333 0.667 0.250 K
0.212 0.424 0.750 Al
0.788 0.576 0.250 Al
0.500 0.000 0.500 Al
0.576 0.788 0.750 Al
0.212 0.788 0.750 Al
0.500 0.000 0.000 Al
0.000 0.500 0.000 Al
0.788 0.212 0.250 Al
0.424 0.212 0.250 Al
0.500 0.500 0.500 Al
0.000 0.500 0.500 Al
0.500 0.500 0.000 Al

=====

K3Al (PBE, relaxed); relative energy among the computed polymorphs = 15.00 kJ per mole of atoms; symmetry = I4/mmm, No. 139; ΔE_f = 0.296 eV per atom; calculated volume = 183 Å³/cell
1.0
-6.265 -1.701 2.278
0.717 -2.533 6.357
2.319 5.852 -2.778
Al K
1 3
direct
0.000 0.000 0.000 Al
0.750 0.250 0.500 K
0.250 0.750 0.500 K
0.500 0.500 0.000 K

=====

KAl3 (PBE, relaxed); symmetry = Cmcm, No. 63; ΔE_f = 0.351 eV per atom; calculated volume = 195 Å³/cell
1.0
4.756 4.196 1.776
-5.256 3.885 0.809
-0.374 -1.408 4.328
Al K
6 2
direct
0.055 0.638 0.750 Al
0.362 0.945 0.750 Al
0.076 0.924 0.250 Al
0.924 0.076 0.750 Al
0.638 0.055 0.250 Al
0.945 0.362 0.250 Al
0.587 0.413 0.750 K
0.413 0.587 0.250 K

=====

> What is the calculated volume in the first record?

303 Å³/cell

=====

> Which of these has the lowest calculated volume?

K3Al